1.
This record from Alexandria describes a relaxed structure of CsCaI2N. The functional is PBEsol.

Its calculated density is 3687 kg/m³. Its final energy is -0.194 Ry per atom.

It has space group P4/mmm (No. 123), with a = 6.663 Å, b = 6.663 Å, c = 4.471 Å, α = 90.00°, β = 90.00° and γ = 90.00°. The distinct sites, in fractional coordinates, are Cs at (0.000, 0.000, 0.000), Ca at (0.500, 0.500, 0.500), I at (0.000, 0.500, 0.000) and N at (0.000, 0.000, 0.500).

2.
This record from Alexandria describes a relaxed structure of NbOF3. The functional is PBEsol.

Its calculated density is 3894 kg/m³. Its final energy is -0.525 Ry per atom.

It has space group P4_1 (No. 76), with a = 5.458 Å, b = 5.458 Å, c = 9.500 Å, α = 90.00°, β = 90.00° and γ = 90.00°. The distinct sites, in fractional coordinates, are Nb at (0.057, 0.585, 0.000), O at (0.210, 0.459, 0.591), F at (0.039, 0.331, 0.867), F at (0.098, 0.179, 0.354) and F at (0.280, 0.400, 0.123).

3.
This record from Alexandria describes a relaxed structure of La2TaNi. The functional is PBEsol.

Its calculated density is 10241 kg/m³. The calculation puts the polymorph energy (0 for the lowest one) at 316.9 meV/atom. For the formation energy, the calculation gives 467 meV/atom.

It has space group Pmmm (No. 47), with a = 3.399 Å, b = 4.723 Å, c = 5.227 Å, α = 90.00°, β = 90.00° and γ = 90.00°. The distinct sites, in fractional coordinates, are La at (0.000, 0.000, 0.000), La at (0.500, 0.000, 0.500), Ta at (0.000, 0.500, 0.500) and Ni at (0.500, 0.500, 0.000).

4.
This record from Alexandria describes a relaxed structure of RePt2Se. The functional is PBEsol.

Its calculated density is 17799 kg/m³. Its final energy is -0.532 Ry per atom.

It has space group P4/mmm (No. 123), with a = 3.787 Å, b = 3.787 Å, c = 4.263 Å, α = 90.00°, β = 90.00° and γ = 90.00°. The distinct sites, in fractional coordinates, are Re at (0.000, 0.000, 0.000), Pt at (0.000, 0.500, 0.500) and Se at (0.500, 0.500, 0.000).

5.
This record from Alexandria describes a relaxed structure of Li2MoOs. The functional is PBEsol.

Its calculated density is 8778 kg/m³. The calculation puts the polymorph energy (0 for the lowest one) at 104.4 meV/atom. For the formation energy, the calculation gives 359 meV/atom.

It has space group C2/m (No. 12), with a = 5.078 Å, b = 9.299 Å, c = 2.530 Å, α = 90.00°, β = 108.14° and γ = 90.00°. The distinct sites, in fractional coordinates, are Li at (0.250, 0.250, 0.000), Mo at (0.000, 0.000, 0.500) and Os at (0.000, 0.500, 0.500).

6.
This record from Alexandria describes a relaxed structure of ZnCdBr2. The functional is PBEsol.

Its calculated density is 5649 kg/m³. The calculation puts the polymorph energy (0 for the lowest one) at 0.0 meV/atom.

It has space group Cm (No. 8), with a = 6.370 Å, b = 3.671 Å, c = 8.751 Å, α = 90.00°, β = 104.02° and γ = 90.00°. The distinct sites, in fractional coordinates, are Zn at (0.000, 0.000, 0.000), Cd at (0.259, 0.000, 0.772), Br at (0.023, 0.500, 0.565) and Br at (0.225, 0.500, 0.174).

7.
This record from Alexandria describes a relaxed structure of RuRh2W. The functional is PBEsol.

Its calculated density is 14708 kg/m³. The calculation puts the polymorph energy (0 for the lowest one) at 30.3 meV/atom. For the formation energy, the calculation gives -166 meV/atom.

It has space group Pmm2 (No. 25), with a = 2.713 Å, b = 4.316 Å, c = 4.732 Å, α = 90.00°, β = 90.00° and γ = 90.00°. The distinct sites, in fractional coordinates, are Ru at (0.000, 0.000, 0.000), Rh at (0.500, 0.000, 0.492), Rh at (0.500, 0.500, 0.161) and W at (0.000, 0.500, 0.672).

8.
This record from Alexandria describes a relaxed structure of Ca2TaSb. The functional is PBEsol.

Its calculated density is 6080 kg/m³. Its final energy is -0.352 Ry per atom.

It has space group I-42d (No. 122), with a = 8.500 Å, b = 8.500 Å, c = 5.789 Å, α = 90.00°, β = 90.00° and γ = 90.00°. The distinct sites, in fractional coordinates, are Ca at (0.239, 0.750, 0.125), Ta at (0.000, 0.000, 0.500) and Sb at (0.000, 0.000, 0.000).

9.
This record from Alexandria describes a relaxed structure of In2PRh. The functional is PBEsol.

Its calculated density is 8621 kg/m³. For the formation energy, the calculation gives 52 meV/atom.

It has space group P4/mmm (No. 123), with a = 4.427 Å, b = 4.427 Å, c = 3.572 Å, α = 90.00°, β = 90.00° and γ = 90.00°. The distinct sites, in fractional coordinates, are In at (0.000, 0.500, 0.000), P at (0.000, 0.000, 0.500) and Rh at (0.500, 0.500, 0.500).

10.
This record from Alexandria describes a relaxed structure of CaEuSi4. The functional is PBEsol.

Its calculated density is 4246 kg/m³. Its final energy is -0.476 Ry per atom.

It has space group I-4m2 (No. 119), with a = 4.191 Å, b = 4.191 Å, c = 13.552 Å, α = 90.00°, β = 90.00° and γ = 90.00°. The distinct sites, in fractional coordinates, are Ca at (0.000, 0.000, 0.000), Eu at (0.000, 0.500, 0.750), Si at (0.000, 0.000, 0.415) and Si at (0.000, 0.500, 0.166).

11.
This record from Alexandria describes a relaxed structure of CaTl2Pt. The functional is PBEsol.

Its calculated density is 11947 kg/m³. For the formation energy, the calculation gives -298 meV/atom.

It has space group P4/mmm (No. 123), with a = 4.376 Å, b = 4.376 Å, c = 4.673 Å, α = 90.00°, β = 90.00° and γ = 90.00°. The distinct sites, in fractional coordinates, are Ca at (0.000, 0.000, 0.000), Tl at (0.000, 0.500, 0.500) and Pt at (0.500, 0.500, 0.000).

12.
This record from Alexandria describes a relaxed structure of ZnSnAs2. The functional is PBEsol.

Its calculated density is 5560 kg/m³. The calculation puts the polymorph energy (0 for the lowest one) at 33.4 meV/atom. For the formation energy, the calculation gives -112 meV/atom.

It has space group R3m (No. 160, hexagonal axes), with a = 4.1381 Å, b = 4.1381 Å, c = 20.1765 Å, α = 90.00°, β = 90.00° and γ = 120.00°. The distinct sites, in fractional coordinates, are Zn at (0.0000, 0.0000, 0.0000), Sn at (0.0000, 0.0000, 0.5182), As at (0.0000, 0.0000, 0.1264) and As at (0.0000, 0.0000, 0.6460).

13.
This record from Alexandria describes a relaxed structure of RbCaAg3. The functional is PBEsol.

Its calculated density is 4153 kg/m³. For the formation energy, the calculation gives 462 meV/atom.

It has space group Pm-3m (No. 221), with a = 5.642 Å, b = 5.642 Å, c = 5.642 Å, α = 90.00°, β = 90.00° and γ = 90.00°. The distinct sites, in fractional coordinates, are Rb at (0.000, 0.000, 0.000), Ca at (0.500, 0.500, 0.500) and Ag at (0.000, 0.500, 0.500).

14.
This record from Alexandria describes a relaxed structure of TiSnTe2. The functional is PBEsol.

Its calculated density is 6427 kg/m³. Its final energy is -0.393 Ry per atom.

It has space group R-3m (No. 166, hexagonal axes), with a = 3.5903 Å, b = 3.5903 Å, c = 29.2833 Å, α = 90.00°, β = 90.00° and γ = 120.00°. The distinct sites, in fractional coordinates, are Ti at (0.0000, 0.0000, 0.0000), Sn at (0.0000, 0.0000, 0.5000) and Te at (0.0000, 0.0000, 0.3935).

15.
This record from Alexandria describes a relaxed structure of Zn2AsRh. The functional is PBEsol.

Its calculated density is 8878 kg/m³. For the formation energy, the calculation gives -109 meV/atom.

It has space group C2/m (No. 12), with a = 8.955 Å, b = 2.990 Å, c = 4.383 Å, α = 90.00°, β = 100.35° and γ = 90.00°. The distinct sites, in fractional coordinates, are Zn at (0.242, 0.000, 0.235), As at (0.000, 0.000, 0.500) and Rh at (0.000, 0.500, 0.000).

16.
This record from Alexandria describes a relaxed structure of Na2IF. The functional is PBEsol.

Its calculated density is 3299 kg/m³. Its final energy is -0.259 Ry per atom.

It has space group I-42d (No. 122), with a = 6.866 Å, b = 6.866 Å, c = 8.196 Å, α = 90.00°, β = 90.00° and γ = 90.00°. The distinct sites, in fractional coordinates, are Na at (0.137, 0.250, 0.125), I at (0.000, 0.000, 0.500) and F at (0.000, 0.000, 0.000).

17.
This record from Alexandria describes a relaxed structure of Zr2ScW. The functional is PBEsol.

Its calculated density is 8601 kg/m³. For the formation energy, the calculation gives 174 meV/atom.

It has space group Pm (No. 6), with a = 2.985 Å, b = 4.703 Å, c = 5.825 Å, α = 90.00°, β = 103.85° and γ = 90.00°. The distinct sites, in fractional coordinates, are Zr at (0.000, 0.000, 0.000), Zr at (0.324, 0.500, 0.738), Sc at (0.686, 0.500, 0.273) and W at (0.477, 0.000, 0.510).

18.
This record from Alexandria describes a relaxed structure of SrAl4Fe. The functional is PBEsol.

Its calculated density is 3703 kg/m³. For the formation energy, the calculation gives 183 meV/atom.

It has space group F-43m (No. 216), with a = 7.669 Å, b = 7.669 Å, c = 7.669 Å, α = 90.00°, β = 90.00° and γ = 90.00°. The distinct sites, in fractional coordinates, are Sr at (0.000, 0.000, 0.000), Al at (0.125, 0.125, 0.375) and Fe at (0.250, 0.250, 0.750).

19.
This record from Alexandria describes a relaxed structure of CaHfB2. The functional is PBEsol.

Its calculated density is 4941 kg/m³. The calculation puts the polymorph energy (0 for the lowest one) at 399.9 meV/atom. For the formation energy, the calculation gives 882 meV/atom.

It has space group I-42d (No. 122), with a = 4.770 Å, b = 4.770 Å, c = 14.189 Å, α = 90.00°, β = 90.00° and γ = 90.00°. The distinct sites, in fractional coordinates, are Ca at (0.000, 0.000, 0.000), Hf at (0.000, 0.000, 0.500) and B at (0.154, 0.250, 0.625).

20.
This record from Alexandria describes a relaxed structure of KCrAs. The functional is PBEsol.

Its calculated density is 3394 kg/m³. The calculation puts the polymorph energy (0 for the lowest one) at 660.3 meV/atom. For the formation energy, the calculation gives 1197 meV/atom.

It has space group F-43m (No. 216), with a = 6.875 Å, b = 6.875 Å, c = 6.875 Å, α = 90.00°, β = 90.00° and γ = 90.00°. The distinct sites, in fractional coordinates, are K at (0.000, 0.000, 0.000), Cr at (0.250, 0.250, 0.750) and As at (0.250, 0.250, 0.250).

21.
This record from Alexandria describes a relaxed structure of Y2NiBS. The functional is PBEsol.

Its calculated density is 5150 kg/m³. Its final energy is -0.514 Ry per atom.

It has space group P4/mmm (No. 123), with a = 4.949 Å, b = 4.949 Å, c = 3.678 Å, α = 90.00°, β = 90.00° and γ = 90.00°. The distinct sites, in fractional coordinates, are Y at (0.000, 0.500, 0.000), Ni at (0.000, 0.000, 0.500), B at (0.000, 0.000, 0.000) and S at (0.500, 0.500, 0.500).

22.
This record from Alexandria describes a relaxed structure of Te2IrAu. The functional is PBEsol.

Its calculated density is 13475 kg/m³. The calculation puts the polymorph energy (0 for the lowest one) at 556.3 meV/atom.

It has space group P4/mmm (No. 123), with a = 5.010 Å, b = 5.010 Å, c = 3.163 Å, α = 90.00°, β = 90.00° and γ = 90.00°. The distinct sites, in fractional coordinates, are Te at (0.000, 0.500, 0.000), Ir at (0.000, 0.000, 0.500) and Au at (0.500, 0.500, 0.500).

23.
This record from Alexandria describes a relaxed structure of Be3BrN. The functional is PBEsol.

Its calculated density is 2685 kg/m³. Its final energy is -0.159 Ry per atom.

It has space group Pm-3m (No. 221), with a = 4.213 Å, b = 4.213 Å, c = 4.213 Å, α = 90.00°, β = 90.00° and γ = 90.00°. The distinct sites, in fractional coordinates, are Be at (0.000, 0.000, 0.500), Br at (0.000, 0.000, 0.000) and N at (0.500, 0.500, 0.500).

24.
This record from Alexandria describes a relaxed structure of MgAgAu2. The functional is PBEsol.

Its calculated density is 12950 kg/m³. For the formation energy, the calculation gives -357 meV/atom.

It has space group P4/mmm (No. 123), with a = 4.147 Å, b = 4.147 Å, c = 3.922 Å, α = 90.00°, β = 90.00° and γ = 90.00°. The distinct sites, in fractional coordinates, are Mg at (0.000, 0.000, 0.000), Ag at (0.500, 0.500, 0.000) and Au at (0.000, 0.500, 0.500).

25.
This record from Alexandria describes a relaxed structure of Zn2RhBr. The functional is PBEsol.

Its calculated density is 7873 kg/m³. The calculation puts the polymorph energy (0 for the lowest one) at 0.0 meV/atom.

It has space group P4/mmm (No. 123), with a = 3.147 Å, b = 3.147 Å, c = 6.679 Å, α = 90.00°, β = 90.00° and γ = 90.00°. The distinct sites, in fractional coordinates, are Zn at (0.000, 0.000, 0.198), Rh at (0.500, 0.500, 0.000) and Br at (0.500, 0.500, 0.500).

26.
This record from Alexandria describes a relaxed structure of NaLa2Y. The functional is PBEsol.

Its calculated density is 4842 kg/m³. For the formation energy, the calculation gives 278 meV/atom.

It has space group Fm-3m (No. 225), with a = 8.116 Å, b = 8.116 Å, c = 8.116 Å, α = 90.00°, β = 90.00° and γ = 90.00°. The distinct sites, in fractional coordinates, are Na at (0.000, 0.000, 0.000), La at (0.250, 0.250, 0.250) and Y at (0.000, 0.000, 0.500).

27.
This record from Alexandria describes a relaxed structure of La2Cu3Ni. The functional is PBEsol.

Its calculated density is 7543 kg/m³. For the formation energy, the calculation gives -195 meV/atom.

It has space group Pmm2 (No. 25), with a = 3.777 Å, b = 4.203 Å, c = 7.311 Å, α = 90.00°, β = 90.00° and γ = 90.00°. The distinct sites, in fractional coordinates, are La at (0.000, 0.000, 0.000), La at (0.000, 0.500, 0.480), Cu at (0.500, 0.000, 0.654), Cu at (0.500, 0.500, 0.156), Cu at (0.500, 0.500, 0.823) and Ni at (0.500, 0.000, 0.322).

28.
This record from Alexandria describes a relaxed structure of Li3Cr. The functional is PBEsol.

Its calculated density is 1701 kg/m³. The calculation puts the polymorph energy (0 for the lowest one) at 28.8 meV/atom. For the formation energy, the calculation gives 492 meV/atom.

It has space group P6_3/mmc (No. 194), with a = 5.8183 Å, b = 5.8183 Å, c = 4.8496 Å, α = 90.00°, β = 90.00° and γ = 120.00°. The distinct sites, in fractional coordinates, are Li at (0.1694, 0.3388, 0.2500) and Cr at (0.3333, 0.6667, 0.7500).

Number 1: DOS at the Fermi energy 0.48 states/eV/atom. Number 2: DOS at the Fermi energy 0.00 states/eV/atom. Number 3: DOS at the Fermi energy 0.94 states/eV/atom. Number 4: DOS at the Fermi energy 0.90 states/eV/atom. Number 5: DOS at the Fermi energy 0.65 states/eV/atom. Number 6: DOS at the Fermi energy 0.01 states/eV/atom. Number 7: DOS at the Fermi energy 0.77 states/eV/atom. Number 8: DOS at the Fermi energy 0.93 states/eV/atom. Number 9: DOS at the Fermi energy 0.25 states/eV/atom. Number 10: DOS at the Fermi energy 0.36 states/eV/atom. Number 11: DOS at the Fermi energy 0.43 states/eV/atom. Number 12: DOS at the Fermi energy 0.06 states/eV/atom. Number 13: DOS at the Fermi energy 0.14 states/eV/atom. Number 14: DOS at the Fermi energy 0.60 states/eV/atom. Number 15: DOS at the Fermi energy 0.50 states/eV/atom. Number 16: DOS at the Fermi energy 0.00 states/eV/atom. Number 17: DOS at the Fermi energy 1.13 states/eV/atom. Number 18: DOS at the Fermi energy 0.54 states/eV/atom. Number 19: DOS at the Fermi energy 0.42 states/eV/atom. Number 20: DOS at the Fermi energy 0.49 states/eV/atom. Number 21: DOS at the Fermi energy 0.68 states/eV/atom. Number 22: DOS at the Fermi energy 0.56 states/eV/atom. Number 23: DOS at the Fermi energy 0.72 states/eV/atom. Number 24: DOS at the Fermi energy 0.35 states/eV/atom. Number 25: DOS at the Fermi energy 0.27 states/eV/atom. Number 26: DOS at the Fermi energy 1.31 states/eV/atom. Number 27: DOS at the Fermi energy 0.73 states/eV/atom. Number 28: DOS at the Fermi energy 0.44 states/eV/atom.